## NbTc3Pd (PBE)

Data for an optimized crystal structure of NbTc3Pd.

Geometry as extended XYZ:
```
5
Lattice="4.629 0.000 0.000 0.000 4.629 0.000 0.000 0.000 4.629" Properties=species:S:1:pos:R:3 pbc="T T T"
Nb 2.314 2.314 2.314
Tc 0.000 2.314 0.000
Tc 0.000 0.000 2.314
Tc 2.314 0.000 0.000
Pd 0.000 0.000 0.000
```

Properties
DOS(E_F) in states/eV/cell: 12.8
SG: Pm-3m
DFT formation energy in eV per atom: 2.013